(1)
A relaxed structure of CsSmCl4, computed with GGA-PBE.

VASP energy = -4.320 eV/atom
raw formation energy = -2160 meV/atom
excess energy over the best structure of this formula in the dataset = 0.0 meV per atom
magnetic moment = 0.00 μB/f.u.

Lattice parameters (Å, degrees): 8.689 8.689 7.374 93.04 93.04 51.93
Fractional positions:
Cs: 0.209 0.209 0.257
Cs: 0.791 0.791 0.743
Sm: 0.468 0.468 0.724
Sm: 0.532 0.532 0.276
Cl: 0.189 0.614 0.431
Cl: 0.261 0.739 0.000
Cl: 0.308 0.308 0.824
Cl: 0.386 0.811 0.569
Cl: 0.614 0.189 0.431
Cl: 0.692 0.692 0.176
Cl: 0.739 0.261 0.000
Cl: 0.811 0.386 0.569

---

(2)
A relaxed structure of Cs3SmCl6, computed with GGA-PBE.

VASP energy = -3.950 eV/atom
raw formation energy = -2114 meV/atom
excess energy over the best structure of this formula in the dataset = 47.1 meV per atom
magnetic moment = 0.00 μB/f.u.

Lattice parameters (Å, degrees): 8.479 8.479 8.479 60.00 60.00 60.00
Fractional positions:
Cs: 0.000 0.000 0.000
Cs: 0.250 0.250 0.250
Cs: 0.750 0.750 0.750
Sm: 0.500 0.500 0.500
Cl: 0.275 0.275 0.725
Cl: 0.275 0.725 0.275
Cl: 0.275 0.725 0.725
Cl: 0.725 0.275 0.275
Cl: 0.725 0.275 0.725
Cl: 0.725 0.725 0.275

---

(3)
A relaxed structure of Cs5Sm2Cl12, computed with GGA-PBE.

VASP energy = -3.847 eV/atom
raw formation energy = -1960 meV/atom
magnetic moment = 1.12 μB/f.u.

Lattice parameters (Å, degrees): 9.858 9.858 8.495 97.96 97.96 64.19
Fractional positions:
Cs: 0.000 0.000 0.000
Cs: 0.247 0.247 0.464
Cs: 0.357 0.357 0.967
Cs: 0.643 0.643 0.033
Cs: 0.753 0.753 0.536
Sm: 0.227 0.773 0.500
Sm: 0.773 0.227 0.500
Cl: 0.075 0.075 0.643
Cl: 0.109 0.687 0.726
Cl: 0.166 0.569 0.279
Cl: 0.313 0.891 0.274
Cl: 0.431 0.834 0.721
Cl: 0.460 0.460 0.617
Cl: 0.540 0.540 0.383
Cl: 0.569 0.166 0.279
Cl: 0.687 0.109 0.726
Cl: 0.834 0.431 0.721
Cl: 0.891 0.313 0.274
Cl: 0.925 0.925 0.357

---

(4)
A relaxed structure of Cs2SmCl6, computed with GGA-PBE.

VASP energy = -3.769 eV/atom
raw formation energy = -1824 meV/atom
magnetic moment = 1.12 μB/f.u.

Lattice parameters (Å, degrees): 4.445 8.702 8.702 120.09 90.00 90.00
Fractional positions:
Cs: 0.000 0.167 0.833
Cs: 0.000 0.833 0.167
Sm: 0.500 0.501 0.501
Cl: 0.000 0.280 0.500
Cl: 0.000 0.500 0.280
Cl: 0.000 0.721 0.721
Cl: 0.500 0.173 0.173
Cl: 0.500 0.500 0.828
Cl: 0.500 0.828 0.500

---

(5)
A relaxed structure of CsSmSnCl6, computed with GGA-PBE.

VASP energy = -4.129 eV/atom
raw formation energy = -1834 meV/atom
magnetic moment = 0.00 μB/f.u.

Lattice parameters (Å, degrees): 7.395 7.395 7.530 90.00 90.00 120.00
Fractional positions:
Cs: 0.000 0.000 0.000
Sm: 0.667 0.333 0.500
Sn: 0.333 0.667 0.500
Cl: 0.386 0.014 0.708
Cl: 0.386 0.372 0.292
Cl: 0.628 0.014 0.292
Cl: 0.628 0.614 0.708
Cl: 0.986 0.372 0.708
Cl: 0.986 0.614 0.292

---

(6)
A relaxed structure of CsSrSmCl6, computed with GGA-PBE.

VASP energy = -4.355 eV/atom
raw formation energy = -2318 meV/atom
magnetic moment = 0.00 μB/f.u.

Lattice parameters (Å, degrees): 7.499 7.499 14.839 90.00 90.00 120.00
Fractional positions:
Cs: 0.000 0.000 0.000
Cs: 0.000 0.000 0.500
Sr: 0.333 0.667 0.250
Sr: 0.667 0.333 0.750
Sm: 0.333 0.667 0.750
Sm: 0.667 0.333 0.250
Cl: 0.019 0.388 0.645
Cl: 0.019 0.631 0.855
Cl: 0.369 0.388 0.855
Cl: 0.369 0.981 0.645
Cl: 0.388 0.019 0.145
Cl: 0.388 0.369 0.355
Cl: 0.612 0.631 0.645
Cl: 0.612 0.981 0.855
Cl: 0.631 0.019 0.355
Cl: 0.631 0.612 0.145
Cl: 0.981 0.369 0.145
Cl: 0.981 0.612 0.355

---

(7)
A relaxed structure of Cs2SrSmCl6, computed with GGA-PBE.

VASP energy = -4.004 eV/atom
raw formation energy = -2085 meV/atom
magnetic moment = 0.94 μB/f.u.

Lattice parameters (Å, degrees): 7.971 11.266 7.958 90.00 90.00 90.00
Fractional positions:
Cs: 0.250 0.001 0.250
Cs: 0.250 0.499 0.250
Cs: 0.750 0.501 0.750
Cs: 0.750 0.999 0.750
Sr: 0.250 0.750 0.749
Sr: 0.750 0.250 0.251
Sm: 0.250 0.250 0.751
Sm: 0.750 0.750 0.249
Cl: 0.004 0.250 0.506
Cl: 0.005 0.250 0.996
Cl: 0.250 0.005 0.750
Cl: 0.250 0.495 0.750
Cl: 0.495 0.250 0.996
Cl: 0.496 0.250 0.506
Cl: 0.504 0.750 0.494
Cl: 0.505 0.750 0.004
Cl: 0.750 0.505 0.250
Cl: 0.750 0.995 0.250
Cl: 0.995 0.750 0.004
Cl: 0.996 0.750 0.494

---

(8)
A relaxed structure of CsSmTeCl2, computed with GGA-PBE.

VASP energy = -4.352 eV/atom
raw formation energy = -1870 meV/atom
magnetic moment = 0.00 μB/f.u.

Lattice parameters (Å, degrees): 9.645 9.645 8.962 90.00 90.00 152.74
Fractional positions:
Cs: 0.215 0.785 0.750
Cs: 0.785 0.215 0.250
Sm: 0.500 0.500 0.000
Sm: 0.500 0.500 0.500
Te: 0.001 0.999 0.250
Te: 0.999 0.001 0.750
Cl: 0.357 0.643 0.002
Cl: 0.357 0.643 0.498
Cl: 0.643 0.357 0.502
Cl: 0.643 0.357 0.998

---

(9)
A relaxed structure of CsSmTl2Cl6, computed with GGA-PBE.

VASP energy = -3.885 eV/atom
raw formation energy = -1747 meV/atom
magnetic moment = 0.00 μB/f.u.

Lattice parameters (Å, degrees): 8.337 8.337 8.337 57.55 57.55 57.55
Fractional positions:
Cs: 0.000 0.000 0.000
Sm: 0.485 0.485 0.485
Tl: 0.282 0.282 0.282
Tl: 0.793 0.793 0.793
Cl: 0.129 0.653 0.419
Cl: 0.252 0.581 0.827
Cl: 0.419 0.129 0.653
Cl: 0.581 0.827 0.252
Cl: 0.653 0.419 0.129
Cl: 0.827 0.252 0.581

---

(10)
A relaxed structure of CsSmVCl6, computed with GGA-PBE.

VASP energy = -4.725 eV/atom
raw formation energy = -1862 meV/atom
magnetic moment = 3.00 μB/f.u.

Lattice parameters (Å, degrees): 6.774 6.774 7.909 90.00 90.00 120.00
Fractional positions:
Cs: 0.000 0.000 0.000
Sm: 0.667 0.333 0.500
V: 0.333 0.667 0.500
Cl: 0.024 0.382 0.688
Cl: 0.024 0.642 0.312
Cl: 0.358 0.382 0.312
Cl: 0.358 0.976 0.688
Cl: 0.618 0.642 0.688
Cl: 0.618 0.976 0.312

---

(11)
A relaxed structure of Cs6Sn3Cl14, computed with GGA-PBE.

VASP energy = -3.403 eV/atom
raw formation energy = -1534 meV/atom
magnetic moment = 0.00 μB/f.u.

Lattice parameters (Å, degrees): 12.053 12.053 8.342 90.00 90.00 120.00
Fractional positions:
Cs: 0.054 0.593 0.000
Cs: 0.275 0.070 0.472
Cs: 0.407 0.460 0.000
Cs: 0.540 0.946 0.000
Cs: 0.795 0.725 0.472
Cs: 0.930 0.205 0.472
Sn: 0.000 0.000 0.919
Sn: 0.333 0.667 0.438
Sn: 0.667 0.333 0.258
Cl: 0.000 0.000 0.286
Cl: 0.052 0.843 0.758
Cl: 0.157 0.209 0.758
Cl: 0.189 0.459 0.272
Cl: 0.270 0.811 0.272
Cl: 0.333 0.667 0.812
Cl: 0.475 0.204 0.087
Cl: 0.536 0.394 0.427
Cl: 0.541 0.730 0.272
Cl: 0.606 0.142 0.427
Cl: 0.729 0.525 0.087
Cl: 0.791 0.948 0.758
Cl: 0.796 0.271 0.087
Cl: 0.858 0.464 0.427

---

(12)
A relaxed structure of Cs6SnCl8, computed with GGA-PBE.

VASP energy = -3.365 eV/atom
raw formation energy = -1772 meV/atom
magnetic moment = 0.00 μB/f.u.

Lattice parameters (Å, degrees): 8.982 8.982 8.982 68.95 68.95 68.95
Fractional positions:
Cs: 0.013 0.438 0.802
Cs: 0.198 0.987 0.562
Cs: 0.438 0.802 0.013
Cs: 0.562 0.198 0.987
Cs: 0.802 0.013 0.438
Cs: 0.987 0.562 0.198
Sn: 0.500 0.500 0.500
Cl: 0.157 0.157 0.157
Cl: 0.190 0.660 0.409
Cl: 0.340 0.591 0.810
Cl: 0.409 0.190 0.660
Cl: 0.591 0.810 0.340
Cl: 0.660 0.409 0.190
Cl: 0.810 0.340 0.591
Cl: 0.843 0.843 0.843